No. 1
Here is a relaxed NdBi8Au2 crystal from the Alexandria database. Energies are from PBE-GGA.

Unit cell a=10.325 b=10.325 c=4.463 alpha=90.54 beta=90.54 gamma=47.77
Element x y z (fractional)
Nd: 0.000 0.000 0.000
Bi: 0.104 0.678 0.500
Bi: 0.267 0.267 0.506
Bi: 0.322 0.896 0.500
Bi: 0.419 0.419 0.004
Bi: 0.581 0.581 0.996
Bi: 0.678 0.104 0.500
Bi: 0.733 0.733 0.494
Bi: 0.896 0.322 0.500
Au: 0.171 0.171 0.002
Au: 0.829 0.829 0.998

Calculated values
calculated total energy	-43.39	eV/f.u.
density of states at the Fermi level	5.9	states/eV/f.u.
energy of formation from the pure elements	-9	kJ per mole of atoms

No. 2
Here is a relaxed Pm7Er12Sc crystal from the Alexandria database. Energies are from PBE-GGA.

Unit cell a=9.708 b=9.708 c=9.708 alpha=109.47 beta=109.47 gamma=109.47
Element x y z (fractional)
Pm: 0.000 0.000 0.500
Pm: 0.000 0.500 0.000
Pm: 0.000 0.500 0.500
Pm: 0.500 0.000 0.000
Pm: 0.500 0.000 0.500
Pm: 0.500 0.500 0.000
Pm: 0.500 0.500 0.500
Er: 0.000 0.241 0.759
Er: 0.000 0.759 0.241
Er: 0.241 0.000 0.759
Er: 0.241 0.241 0.483
Er: 0.241 0.483 0.241
Er: 0.241 0.759 0.000
Er: 0.483 0.241 0.241
Er: 0.517 0.759 0.759
Er: 0.759 0.000 0.241
Er: 0.759 0.241 0.000
Er: 0.759 0.517 0.759
Er: 0.759 0.759 0.517
Sc: 0.000 0.000 0.000

Calculated values
energy above the most stable polymorph in this dataset	9.22	eV per formula unit
calculated total energy	-80.39	eV/f.u.
density of states at the Fermi level	29.9	states/eV/f.u.
energy of formation from the pure elements	67	kJ per mole of atoms

No. 3
Here is a relaxed LaPr2I crystal from the Alexandria database. Energies are from PBE-GGA.

Unit cell a=11.228 b=11.228 c=11.228 alpha=19.92 beta=19.92 gamma=19.92
Element x y z (fractional)
La: 0.000 0.000 0.000
Pr: 0.243 0.243 0.243
Pr: 0.423 0.423 0.423
I: 0.833 0.833 0.833

Calculated values
energy relative to the elements, uncorrected	-9.0	kcal/mol of atoms
energy above the most stable polymorph in this dataset	0.00	eV per formula unit
calculated total energy	-17.60	eV/f.u.
density of states at the Fermi level	5.8	states/eV/f.u.

No. 4
Here is a relaxed Cs3LiGe2I9 crystal from the Alexandria database. Energies are from PBE-GGA.

Unit cell a=8.410 b=8.410 c=10.283 alpha=90.00 beta=90.00 gamma=120.00
Element x y z (fractional)
Cs: 0.000 0.000 0.000
Cs: 0.333 0.667 0.667
Cs: 0.667 0.333 0.333
Li: 0.000 0.000 0.500
Ge: 0.333 0.667 0.174
Ge: 0.667 0.333 0.826
I: 0.000 0.500 0.000
I: 0.170 0.340 0.332
I: 0.170 0.830 0.332
I: 0.340 0.170 0.668
I: 0.500 0.000 0.000
I: 0.500 0.500 0.000
I: 0.660 0.830 0.332
I: 0.830 0.170 0.668
I: 0.830 0.660 0.668

Calculated values
energy relative to the elements, uncorrected	-20.5	kcal/mol of atoms
calculated total energy	-40.97	eV/f.u.
density of states at the Fermi level	8.6	states/eV/f.u.

No. 5
Here is a relaxed FeCuAs2 crystal from the Alexandria database. Energies are from PBE-GGA.

Unit cell a=9.373 b=9.373 c=9.373 alpha=17.80 beta=17.80 gamma=17.80
Element x y z (fractional)
Fe: 0.000 0.000 0.000
Cu: 0.737 0.737 0.737
As: 0.270 0.270 0.270
As: 0.474 0.474 0.474

Calculated values
energy above the most stable polymorph in this dataset	0.80	eV per formula unit
calculated total energy	-20.76	eV/f.u.
density of states at the Fermi level	4.2	states/eV/f.u.
energy of formation from the pure elements	27	kJ per mole of atoms

No. 6
Here is a relaxed Ti3HIr crystal from the Alexandria database. Energies are from PBE-GGA.

Unit cell a=7.353 b=7.353 c=5.107 alpha=95.60 beta=95.60 gamma=97.44
Element x y z (fractional)
Ti: 0.053 0.744 0.959
Ti: 0.172 0.557 0.384
Ti: 0.256 0.947 0.541
Ti: 0.302 0.455 0.893
Ti: 0.443 0.828 0.116
Ti: 0.455 0.302 0.393
Ti: 0.545 0.698 0.607
Ti: 0.557 0.172 0.884
Ti: 0.698 0.545 0.107
Ti: 0.744 0.053 0.459
Ti: 0.828 0.443 0.616
Ti: 0.947 0.256 0.041
H: 0.303 0.697 0.750
H: 0.438 0.562 0.250
H: 0.562 0.438 0.750
H: 0.697 0.303 0.250
Ir: 0.078 0.226 0.562
Ir: 0.226 0.078 0.062
Ir: 0.774 0.922 0.938
Ir: 0.922 0.774 0.438

Calculated values
energy above the most stable polymorph in this dataset	0.22	eV per formula unit
calculated total energy	-37.92	eV/f.u.
density of states at the Fermi level	4.5	states/eV/f.u.

No. 7
Here is a relaxed Pm8Sm3Y3 crystal from the Alexandria database. Energies are from PBE-GGA.

Unit cell a=9.816 b=9.816 c=9.816 alpha=146.06 beta=111.98 gamma=78.23
Element x y z (fractional)
Pm: 0.058 0.397 0.661
Pm: 0.065 0.223 0.841
Pm: 0.265 0.603 0.661
Pm: 0.382 0.223 0.159
Pm: 0.618 0.777 0.841
Pm: 0.735 0.397 0.339
Pm: 0.935 0.777 0.159
Pm: 0.942 0.603 0.339
Sm: 0.319 0.819 0.500
Sm: 0.500 0.500 0.000
Sm: 0.681 0.181 0.500
Y: 0.000 0.000 0.000
Y: 0.301 0.000 0.301
Y: 0.699 0.000 0.699

Calculated values
calculated total energy	-70.13	eV/f.u.
density of states at the Fermi level	20.3	states/eV/f.u.
energy of formation from the pure elements	10	kJ per mole of atoms

No. 8
Here is a relaxed CsCa2MgRh crystal from the Alexandria database. Energies are from PBE-GGA.

Unit cell a=5.640 b=5.640 c=5.494 alpha=90.00 beta=90.00 gamma=90.00
Element x y z (fractional)
Cs: 0.000 0.000 0.000
Ca: 0.000 0.500 0.500
Ca: 0.500 0.000 0.500
Mg: 0.500 0.500 0.000
Rh: 0.500 0.500 0.500

Calculated values
calculated total energy	-14.22	eV/f.u.
density of states at the Fermi level	2.7	states/eV/f.u.
energy of formation from the pure elements	-8	kJ per mole of atoms

No. 9
Here is a relaxed ZnTeAu2 crystal from the Alexandria database. Energies are from PBE-GGA.

Unit cell a=4.175 b=4.175 c=5.890 alpha=90.00 beta=90.00 gamma=120.00
Element x y z (fractional)
Zn: 0.000 0.000 0.000
Te: 0.333 0.667 0.500
Au: 0.667 0.333 0.230
Au: 0.667 0.333 0.770

Calculated values
energy relative to the elements, uncorrected	-1.8	kcal/mol of atoms
energy above the most stable polymorph in this dataset	0.00	eV per formula unit
calculated total energy	-11.28	eV/f.u.
density of states at the Fermi level	1.3	states/eV/f.u.

No. 10
Here is a relaxed HoPaPd2 crystal from the Alexandria database. Energies are from PBE-GGA.

Unit cell a=7.555 b=7.555 c=7.555 alpha=29.91 beta=29.91 gamma=29.91
Element x y z (fractional)
Ho: 0.000 0.000 0.000
Pa: 0.500 0.500 0.500
Pd: 0.246 0.246 0.246
Pd: 0.754 0.754 0.754

Calculated values
energy above the most stable polymorph in this dataset	0.28	eV per formula unit
calculated total energy	-26.58	eV/f.u.
density of states at the Fermi level	3.9	states/eV/f.u.
energy of formation from the pure elements	-51	kJ per mole of atoms

No. 11
Here is a relaxed Tb9Dy4Tm11 crystal from the Alexandria database. Energies are from PBE-GGA.

Unit cell a=14.926 b=14.926 c=3.642 alpha=90.00 beta=90.00 gamma=112.96
Element x y z (fractional)
Tb: 0.000 0.000 0.000
Tb: 0.132 0.663 0.000
Tb: 0.287 0.432 0.000
Tb: 0.337 0.868 0.000
Tb: 0.432 0.287 0.000
Tb: 0.568 0.713 0.000
Tb: 0.663 0.132 0.000
Tb: 0.713 0.568 0.000
Tb: 0.868 0.337 0.000
Dy: 0.054 0.255 0.000
Dy: 0.255 0.054 0.000
Dy: 0.745 0.946 0.000
Dy: 0.946 0.745 0.000
Tm: 0.093 0.455 0.500
Tm: 0.134 0.866 0.500
Tm: 0.210 0.210 0.500
Tm: 0.340 0.660 0.500
Tm: 0.455 0.093 0.500
Tm: 0.500 0.500 0.500
Tm: 0.545 0.907 0.500
Tm: 0.660 0.340 0.500
Tm: 0.790 0.790 0.500
Tm: 0.866 0.134 0.500
Tm: 0.907 0.545 0.500

Calculated values
calculated total energy	-108.12	eV/f.u.
density of states at the Fermi level	29.4	states/eV/f.u.
energy of formation from the pure elements	5	kJ per mole of atoms

No. 12
Here is a relaxed MgZn10Cd crystal from the Alexandria database. Energies are from PBE-GGA.

Unit cell a=4.367 b=5.110 c=9.128 alpha=90.00 beta=90.00 gamma=90.00
Element x y z (fractional)
Mg: 0.000 0.000 0.000
Zn: 0.000 0.000 0.333
Zn: 0.000 0.000 0.667
Zn: 0.000 0.500 0.165
Zn: 0.000 0.500 0.835
Zn: 0.500 0.000 0.500
Zn: 0.500 0.247 0.245
Zn: 0.500 0.247 0.755
Zn: 0.500 0.500 0.000
Zn: 0.500 0.753 0.245
Zn: 0.500 0.753 0.755
Cd: 0.000 0.500 0.500

Calculated values
calculated total energy	-14.73	eV/f.u.
density of states at the Fermi level	3.5	states/eV/f.u.
energy of formation from the pure elements	4	kJ per mole of atoms